This record from Alexandria via LeMat-Bulk describes a geometry-optimized In2TcRu structure. The functional is PBE.

For the formation energy, the calculation gives 0.48 eV per atom. As for the total energy: -5.8001 eV per atom.

The structure belongs to space group F-43m (No. 216); the cell edges are 6.537, 6.537 and 6.537 Å and the angles 90.00°, 90.00° and 90.00°. Symmetry generates all atoms from In at (0.000, 0.000, 0.000), In at (0.250, 0.250, 0.250), Tc at (0.250, 0.250, 0.750) and Ru at (0.000, 0.000, 0.500).